Entry 1:
The following is a DFT calculation (PBE-GGA) of a relaxed ScMn3Pt crystal.

Cell lengths 4.212, 4.212, 4.212 Å; angles 90.00, 90.00, 90.00 degrees
Positions (direct):
Sc 0.000 0.000 0.000
Mn 0.000 0.500 0.000
Mn 0.000 0.000 0.500
Mn 0.500 0.000 0.000
Pt 0.500 0.500 0.500

Calculated values
- Formation energy: 826 kJ/mol of formula units
- Electronic total energy: -31.3 eV/cell
- Symmetry: Pm-3m, No. 221
- ΔE to the lowest computed polymorph: 107.31 kJ per mole of atoms
- Crystal system: cubic



Entry 2:
The following is a DFT calculation (PBE-GGA) of a relaxed ScMnPt2 crystal.

Cell lengths 5.854, 5.854, 5.854 Å; angles 56.24, 151.77, 132.42 degrees
Last column: magnetic moment on the atom in μB.
Positions (direct):
Sc 0.000 0.000 0.000  -0.26
Mn 0.000 0.500 0.500  3.19
Pt 0.000 0.261 0.261  0.17
Pt 0.000 0.739 0.739  0.17

Calculated values
- Formation energy: -1 kJ/mol of formula units
- Electronic total energy: -27.6 eV/cell
- Symmetry: Immm, No. 71
- Crystal system: orthorhombic